# TaInHg2

A PBEsol-optimized structure of TaInHg2 (SCAN, Alexandria via LeMat-Bulk).

Lattice parameters (Å, degrees): 5.558 5.558 5.558 136.61 136.61 63.03
Sites, in units of the cell vectors:
Ta 0.000 0.000 0.000
In 0.250 0.750 0.500
Hg 0.500 0.500 0.000
Hg 0.750 0.250 0.500

Properties
Formation energy from the elements   0.45 eV/atom
E_tot   -58.63 eV per atom
Symmetry   I-4m2
Total magnetization   0.00 μB/f.u.